[1]
# Ce3PrO8 (meta-GGA SCAN, PBEsol geometry)
# **DFT total energy**: -22.428 eV/atom
# **Formation energy from raw total energies**: -42.3 eV per formula unit
# **DOS at the Fermi energy**: 19.83 states/eV per cell
data_Ce3PrO8
_cell_length_a 5.4478
_cell_length_b 5.4478
_cell_length_c 10.9070
_cell_angle_alpha 90.00
_cell_angle_beta 90.00
_cell_angle_gamma 90.00
_space_group_name_H-M_alt 'I 4/m m m'
_space_group_IT_number 139
_space_group_name_Hall '-I 4 2'
loop_
_atom_site_label
_atom_site_type_symbol
_atom_site_fract_x
_atom_site_fract_y
_atom_site_fract_z
Ce1 Ce 0.0000 0.0000 0.0000
Ce2 Ce 0.0000 0.5000 0.2500
Pr1 Pr 0.0000 0.0000 0.5000
O1 O 0.2435 0.2435 0.1281



[2]
# CePrO2 (meta-GGA SCAN, PBEsol geometry)
# **DFT total energy**: -28.104 eV/atom
# **Formation energy from raw total energies**: -12.1 eV per formula unit
# **Distance to the lowest polymorph of the same formula**: 0.0062 eV per atom
# **DOS at the Fermi energy**: 10.37 states/eV per cell
data_CePrO2
_cell_length_a 4.9774
_cell_length_b 4.9774
_cell_length_c 9.9184
_cell_angle_alpha 90.00
_cell_angle_beta 90.00
_cell_angle_gamma 90.00
_space_group_name_H-M_alt 'I 41/a m d'
_space_group_IT_number 141
loop_
_space_group_symop_operation_xyz
'x,y,z'
'-x,-y,-z'
'-y+1/4,x+3/4,z+1/4'
'y+1/4,-x+3/4,-z+1/4'
'-x+1/2,-y,z+1/2'
'x+1/2,y,-z+1/2'
'y+1/4,-x+1/4,z+3/4'
'-y+1/4,x+1/4,-z+3/4'
'x,-y,-z'
'-x,y,z'
'-y+1/4,-x+1/4,-z+3/4'
'y+1/4,x+1/4,z+3/4'
'-x+1/2,y,-z+1/2'
'x+1/2,-y,z+1/2'
'y+1/4,x+3/4,-z+1/4'
'-y+1/4,-x+3/4,z+1/4'
'x+1/2,y+1/2,z+1/2'
'-x+1/2,-y+1/2,-z+1/2'
'-y+3/4,x+1/4,z+3/4'
'y+3/4,-x+1/4,-z+3/4'
'-x,-y+1/2,z'
'x,y+1/2,-z'
'y+3/4,-x+3/4,z+1/4'
'-y+3/4,x+3/4,-z+1/4'
'x+1/2,-y+1/2,-z+1/2'
'-x+1/2,y+1/2,z+1/2'
'-y+3/4,-x+3/4,-z+1/4'
'y+3/4,x+3/4,z+1/4'
'-x,y+1/2,-z'
'x,-y+1/2,z'
'y+3/4,x+1/4,-z+3/4'
'-y+3/4,-x+1/4,z+3/4'
loop_
_atom_site_label
_atom_site_type_symbol
_atom_site_fract_x
_atom_site_fract_y
_atom_site_fract_z
Ce1 Ce 0.0000 0.2500 0.3750
Pr1 Pr 0.0000 0.2500 0.8750
O1 O 0.0000 0.2500 0.1287



[3]
# CePrO2 (meta-GGA SCAN, PBEsol geometry)
# **DFT total energy**: -28.110 eV/atom
# **Formation energy from raw total energies**: -12.1 eV per formula unit
# **Distance to the lowest polymorph of the same formula**: 0.0000 eV per atom
# **DOS at the Fermi energy**: 7.59 states/eV per cell
data_CePrO2
_cell_length_a 3.5238
_cell_length_b 3.5238
_cell_length_c 17.1363
_cell_angle_alpha 90.00
_cell_angle_beta 90.00
_cell_angle_gamma 120.00
_space_group_name_H-M_alt 'R -3 m'
_space_group_IT_number 166
_space_group_name_Hall '-R 3 2"'
loop_
_atom_site_label
_atom_site_type_symbol
_atom_site_fract_x
_atom_site_fract_y
_atom_site_fract_z
Ce1 Ce 0.0000 0.0000 0.0000
Pr1 Pr 0.0000 0.0000 0.5000
O1 O 0.0000 0.0000 0.2542



[4]
# CePr3O8 (meta-GGA SCAN, PBEsol geometry)
# **DFT total energy**: -21.742 eV/atom
# **Formation energy from raw total energies**: -36.5 eV per formula unit
# **DOS at the Fermi energy**: 33.52 states/eV per cell
data_CePr3O8
_cell_length_a 3.9511
_cell_length_b 3.9511
_cell_length_c 38.5513
_cell_angle_alpha 90.00
_cell_angle_beta 90.00
_cell_angle_gamma 120.00
_space_group_name_H-M_alt 'R -3 m'
_space_group_IT_number 166
_space_group_name_Hall '-R 3 2"'
loop_
_atom_site_label
_atom_site_type_symbol
_atom_site_fract_x
_atom_site_fract_y
_atom_site_fract_z
Ce1 Ce 0.0000 0.0000 0.0000
Pr1 Pr 0.0000 0.0000 0.2522
Pr2 Pr 0.0000 0.0000 0.5000
O1 O 0.0000 0.0000 0.0585
O2 O 0.0000 0.0000 0.1880
O3 O 0.0000 0.0000 0.3159
O4 O 0.0000 0.0000 0.4368



[5]
# Ce3S3O16 (meta-GGA SCAN, PBEsol geometry)
# **DFT total energy**: -14.203 eV/atom
# **Formation energy from raw total energies**: -50.2 eV per formula unit
# **DOS at the Fermi energy**: 44.47 states/eV per cell
data_Ce3S3O16
_cell_length_a 10.7922
_cell_length_b 10.7922
_cell_length_c 10.4472
_cell_angle_alpha 90.00
_cell_angle_beta 90.00
_cell_angle_gamma 90.00
_space_group_name_H-M_alt 'I 4/m'
_space_group_IT_number 87
_space_group_name_Hall '-I 4'
loop_
_atom_site_label
_atom_site_type_symbol
_atom_site_fract_x
_atom_site_fract_y
_atom_site_fract_z
Ce1 Ce 0.0000 0.0000 0.2470
Ce2 Ce 0.0308 0.7581 0.0000
S1 S 0.0000 0.5000 0.2500
S2 S 0.1332 0.7852 0.5000
O1 O 0.0412 0.6058 0.1707
O2 O 0.0701 0.8324 0.3843
O3 O 0.1027 0.1337 0.1224
O4 O 0.1234 0.6488 0.5000
O5 O 0.1738 0.2635 0.5000



[6]
# Ce4S3O4 (meta-GGA SCAN, PBEsol geometry)
# **DFT total energy**: -24.290 eV/atom
# **Formation energy from raw total energies**: -35.1 eV per formula unit
# **DOS at the Fermi energy**: 20.81 states/eV per cell
data_Ce4S3O4
_cell_length_a 6.7305
_cell_length_b 14.4393
_cell_length_c 3.9079
_cell_angle_alpha 90.00
_cell_angle_beta 90.00
_cell_angle_gamma 90.00
_space_group_name_H-M_alt 'P b a m'
_space_group_IT_number 55
loop_
_space_group_symop_operation_xyz
'x,y,z'
'-x,-y,-z'
'-x,-y,z'
'x,y,-z'
'x+1/2,-y+1/2,-z'
'-x+1/2,y+1/2,z'
'-x+1/2,y+1/2,-z'
'x+1/2,-y+1/2,z'
loop_
_atom_site_label
_atom_site_type_symbol
_atom_site_fract_x
_atom_site_fract_y
_atom_site_fract_z
Ce1 Ce 0.2085 0.1602 0.0000
Ce2 Ce 0.2188 0.9217 0.5000
S1 S 0.0004 0.2799 0.5000
S2 S 0.0000 0.5000 0.0000
O1 O 0.1208 0.8715 0.0000
O2 O 0.1389 0.0742 0.5000